Here is TaMnIn2 after structural relaxation from Alexandria via LeMat-Bulk. Energies are from PBE.

Cell and atoms, written as POSCAR:
```
TaMnIn2
1.0
4.2154 0.0000 0.0000
0.0000 4.2251 0.0000
0.0000 0.0000 4.2069
In Mn Ta
2 1 1
direct
0.5000 0.5000 0.0000
0.0000 0.0000 0.0000
0.5000 0.0000 0.5000
0.0000 0.5000 0.5000
```

## Properties
relative energy among the computed polymorphs = 0.059 eV per atom
SG = P4/mmm
E_form = 252 meV per atom

---

Here is Co3Os after structural relaxation from Alexandria via LeMat-Bulk. Energies are from PBE.

Cell and atoms, written as POSCAR:
```
Co3Os
1.0
-3.1958 -3.6394 2.5317
2.3112 -3.1033 -1.5436
5.2546 4.6436 -1.4678
Co Os
3 1
direct
0.4437 0.0000 0.9341
0.0563 0.0000 0.0659
0.7500 0.5000 0.0000
0.2500 0.5000 0.0000
```

## Properties
SG = P2/m
E_form = 266 meV per atom

---

Here is Fe2OsSe after structural relaxation from Alexandria via LeMat-Bulk. Energies are from PBE.

Cell and atoms, written as POSCAR:
```
Fe2OsSe
1.0
3.0032 0.0000 0.0000
0.0000 3.0032 0.0000
0.0000 0.0000 5.9498
Fe Se Os
2 1 1
direct
0.0000 0.0000 0.0058
0.5000 0.5000 0.2383
0.5000 0.5000 0.7719
0.0000 0.0000 0.4840
```

## Properties
formation energy (no corrections) = 0.31 eV/atom
SG = P4mm

---

Here is Ba3Tl3Sn8 after structural relaxation from Alexandria via LeMat-Bulk. Energies are from PBE.

Cell and atoms, written as POSCAR:
```
Ba3Tl3Sn8
1.0
-3.2245 4.1637 0.9964
-8.6775 -3.8308 2.3415
-0.5394 0.7036 9.7299
Sn Ba Tl
8 3 3
direct
0.1540 0.2135 0.4786
0.8460 0.5214 0.7865
0.3464 0.3857 0.9214
0.8460 0.7865 0.5214
0.6536 0.6143 0.0786
0.1540 0.4786 0.2135
0.3464 0.9214 0.3857
0.6536 0.0786 0.6143
0.8038 0.1962 0.1962
0.5000 0.5000 0.5000
0.1962 0.8038 0.8038
0.5000 0.0000 0.0000
0.0000 0.8181 0.1819
0.0000 0.1819 0.8181
```

## Properties
SG = Immm
E_form = -350 meV per atom

---

Here is RbSr2HgPt after structural relaxation from Alexandria via LeMat-Bulk. Energies are from PBE.

Cell and atoms, written as POSCAR:
```
RbSr2HgPt
1.0
-3.3910 -1.9721 4.4959
4.1926 -4.0061 1.4049
2.3723 3.6756 3.4016
Sr Hg Rb Pt
2 1 1 1
direct
0.5000 0.0000 0.0000
0.0000 0.5000 0.0000
0.0000 0.0000 0.5000
0.5000 0.5000 0.5000
0.0000 0.0000 0.0000
```

## Properties
SG = P4/mmm
E_form = -333 meV per atom

---

Here is Nd3ErMg3 after structural relaxation from Alexandria via LeMat-Bulk. Energies are from PBE.

Cell and atoms, written as POSCAR:
```
Nd3ErMg3
1.0
6.5357 0.2994 0.1946
-2.6436 5.9847 0.1946
-0.4188 -0.6761 10.7098
Nd Er Mg
6 2 6
direct
0.4735 0.4735 0.6741
0.2242 0.7758 0.0000
0.5265 0.5265 0.3259
0.7758 0.2242 0.0000
0.8255 0.1745 0.5000
0.1745 0.8255 0.5000
0.2856 0.2856 0.0079
0.7144 0.7144 0.9921
0.5003 0.9855 0.7516
0.9855 0.5003 0.7516
0.0001 0.0001 0.7609
0.4997 0.0145 0.2484
0.0145 0.4997 0.2484
0.9999 0.9999 0.2391
```

## Properties
relative energy among the computed polymorphs = 0.008 eV per atom
SG = C2/m
E_form = 75 meV per atom

---

Here is RbLiScF6 after structural relaxation from Alexandria via LeMat-Bulk. Energies are from PBE.

Cell and atoms, written as POSCAR:
```
RbLiScF6
1.0
-1.0481 -1.1375 7.4737
6.9798 0.1054 0.9949
-3.1570 5.8154 -3.4545
F Rb Li Sc
12 2 2 2
direct
0.1820 0.9242 0.7523
0.6065 0.3565 0.2129
0.3935 0.6435 0.7871
0.5703 0.9242 0.7523
0.8180 0.6718 0.2477
0.1773 0.9273 0.3546
0.1820 0.3282 0.7523
0.4297 0.0758 0.2477
0.8180 0.0758 0.2477
0.8227 0.0727 0.6454
0.5703 0.3282 0.7523
0.4297 0.6718 0.2477
0.8737 0.6237 0.7474
0.1263 0.3763 0.2526
0.5000 0.0000 0.0000
0.5000 0.5000 0.0000
0.5000 0.0000 0.5000
0.0000 0.0000 0.5000
```

## Properties
formation energy (no corrections) = -2.98 eV/atom
SG = Imma

---

Here is Li4B2O5 after structural relaxation from Alexandria via LeMat-Bulk. Energies are from PBE.

Cell and atoms, written as POSCAR:
```
Li4B2O5
1.0
-0.7601 -3.9735 2.8360
6.0644 -3.4979 0.1113
3.9551 0.3576 5.7491
Li B O
8 4 10
direct
0.2084 0.6689 0.3383
0.9922 0.9722 0.6928
0.7916 0.3311 0.6617
0.5114 0.6881 0.9738
0.0249 0.5760 0.7945
0.0078 0.0278 0.3072
0.9751 0.4240 0.2055
0.4886 0.3119 0.0262
0.1139 0.1385 0.9165
0.8861 0.8615 0.0835
0.5484 0.7253 0.5317
0.4516 0.2747 0.4683
0.7941 0.1017 0.9626
0.2634 0.7974 0.5158
0.3742 0.4115 0.2673
0.2059 0.8983 0.0374
0.8663 0.7241 0.9957
0.6258 0.5885 0.7327
0.7887 0.7737 0.3400
0.1337 0.2759 0.0043
0.7366 0.2026 0.4842
0.2113 0.2263 0.6600
```

## Properties
formation energy (no corrections) = -2.24 eV/atom
relative energy among the computed polymorphs = 0.031 eV per atom
SG = P-1

---

| no. | calculated volume (A^3/atom) | E (eV per atom) |
| --- | --- | --- |
| 1 | 18.7 | -6.373 |
| 2 | 12.0 | -7.871 |
| 3 | 13.4 | -7.599 |
| 4 | 33.1 | -3.556 |
| 5 | 39.5 | -2.468 |
| 6 | 30.6 | -3.303 |
| 7 | 16.0 | -5.254 |
| 8 | 9.0 | -6.401 |